No. 1
The following is a DFT calculation (PBE) of an optimized crystal structure of AlIn2Mo.

Cell lengths 5.2302, 5.2302, 3.0197 Å; angles 90.00, 90.00, 112.91 degrees
With the nearest neighbours (Å) after each atom.
Atoms (fractional coordinates):
Mo1 0.5000 0.0000 0.5000  2 Al 2.89, 2 Mo 3.02, 8 In 3.02
In1 0.0000 0.0000 0.0000  4 In 2.89-3.02, 4 Al 3.02, 4 Mo 3.02
Al1 0.0000 0.5000 0.5000  2 Mo 2.89, 2 Al 3.02, 8 In 3.02
In2 0.5000 0.5000 0.0000  4 In 2.89-3.02, 4 Mo 3.02, 4 Al 3.02

Properties
Its density of states at the Fermi level is 0.917 states/eV/atom. The electronic total energy comes out at -4.6914 eV/atom. The energy of formation from the pure elements is 0.321 eV/atom. For the theoretical density, the calculation gives 7.69 g/cm3.



No. 2
The following is a DFT calculation (PBE) of an optimized crystal structure of Na2CdAg2.

Cell lengths 3.8830, 3.8830, 9.0111 Å; angles 77.56, 77.56, 90.00 degrees
With the nearest neighbours (Å) after each atom.
Atoms (fractional coordinates):
Ag1 0.7500 0.2500 0.5000  4 Ag 2.75
Na1 0.3917 0.3917 0.2165  4 Ag 3.11, 4 Cd 3.32
Cd1 0.0000 0.0000 0.0000  8 Na 3.32
Na2 0.6083 0.6083 0.7835  4 Ag 3.11, 4 Cd 3.32
Ag2 0.2500 0.7500 0.5000  4 Ag 2.75

Properties
As for the energy above the most stable polymorph in this dataset: 0.56 eV per formula unit. Its density of states at the Fermi level is 0.375 states/eV/atom. The electronic total energy comes out at -1.7981 eV/atom. The energy of formation from the pure elements is 0.053 eV/atom. For the theoretical density, the calculation gives 4.80 g/cm3.



What did the second record say?
The following is a DFT calculation (PBE) of an optimized crystal structure of Na2CdAg2.

Cell lengths 3.8830, 3.8830, 9.0111 Å; angles 77.56, 77.56, 90.00 degrees
With the nearest neighbours (Å) after each atom.
Atoms (fractional coordinates):
Ag1 0.7500 0.2500 0.5000  4 Ag 2.75
Na1 0.3917 0.3917 0.2165  4 Ag 3.11, 4 Cd 3.32
Cd1 0.0000 0.0000 0.0000  8 Na 3.32
Na2 0.6083 0.6083 0.7835  4 Ag 3.11, 4 Cd 3.32
Ag2 0.2500 0.7500 0.5000  4 Ag 2.75

Properties
As for the energy above the most stable polymorph in this dataset: 0.56 eV per formula unit. Its density of states at the Fermi level is 0.375 states/eV/atom. The electronic total energy comes out at -1.7981 eV/atom. The energy of formation from the pure elements is 0.053 eV/atom. For the theoretical density, the calculation gives 4.80 g/cm3.



Question: What is the theoretical density in the second record?
Answer: 4.80 g/cm3